1.
## Ba2HfZrP (PBE-GGA)

Data for a geometry-optimized Ba2HfZrP structure.

Values from the calculation:
density of states at the Fermi level = 9.34 states/eV/cell
volume = 37.259 Å³ per atom
calculated formation energy = 412 meV per atom
space group = P4/mmm (123)
VASP energy = -5.1393 eV/atom

a b c (Å): 6.102 5.003 6.102
angles (deg): 90.00 90.00 90.00
Each line ends with the local moment (μB).
Sites, in units of the cell vectors:
Zr  0.000  0.500  0.000  0.29
P  0.000  0.000  0.000  -0.01
Hf  0.500  0.500  0.500  0.77
Ba  0.000  0.000  0.500  0.08
Ba  0.500  0.000  0.000  0.08

=====

2.
## Ba2HfPaS6 (PBE-GGA)

Data for a geometry-optimized Ba2HfPaS6 structure.

Values from the calculation:
density of states at the Fermi level = 11.52 states/eV/cell
volume = 26.975 Å³ per atom
space group = Pmmn (59)
energy relative to the elements, uncorrected = -1817 meV/atom
VASP energy = -6.6226 eV/atom

a b c (Å): 7.253 7.251 10.258
angles (deg): 90.00 90.00 90.00
Each line ends with the local moment (μB).
Sites, in units of the cell vectors:
S  0.745  0.495  0.500  -0.01
S  0.255  0.005  0.500  -0.01
S  0.245  0.505  0.000  -0.01
S  0.245  0.995  0.000  -0.01
S  0.755  0.995  0.000  -0.01
S  0.000  0.750  0.245  -0.01
S  0.000  0.750  0.755  -0.01
S  0.255  0.495  0.500  -0.01
S  0.500  0.250  0.255  -0.01
S  0.500  0.250  0.745  -0.01
S  0.755  0.505  0.000  -0.01
S  0.745  0.005  0.500  -0.01
Hf  0.500  0.250  0.500  0.17
Hf  0.000  0.750  0.000  0.17
Ba  0.000  0.250  0.250  0.01
Ba  0.000  0.250  0.750  0.01
Ba  0.500  0.750  0.750  0.01
Ba  0.500  0.750  0.250  0.01
Pa  0.500  0.250  0.000  0.45
Pa  0.000  0.750  0.500  0.45

=====

3.
## Ba3HfPb (PBE-GGA)

Data for a geometry-optimized Ba3HfPb structure.

Values from the calculation:
density of states at the Fermi level = 9.25 states/eV/cell
volume = 48.431 Å³ per atom
calculated formation energy = 674 meV per atom
space group = Pm-3m (221)
VASP energy = -3.2116 eV/atom

a b c (Å): 6.233 6.233 6.233
angles (deg): 90.00 90.00 90.00
Each line ends with the local moment (μB).
Sites, in units of the cell vectors:
Ba  0.000  0.000  0.500  0.05
Ba  0.000  0.500  0.000  0.05
Ba  0.500  0.000  0.000  0.03
Pb  0.500  0.500  0.500  0.00
Hf  0.000  0.000  0.000  0.34

=====

4.
## BaHf3Pb (PBE-GGA)

Data for a geometry-optimized BaHf3Pb structure.

Values from the calculation:
E above lowest polymorph = 73.99 kJ/mol of atoms
density of states at the Fermi level = 13.38 states/eV/cell
volume = 30.361 Å³ per atom
calculated formation energy = 1934 meV per atom
space group = Pm-3m (221)
VASP energy = -5.1643 eV/atom

a b c (Å): 5.335 5.335 5.335
angles (deg): 90.00 90.00 90.00
Sites, in units of the cell vectors:
Hf  0.500  0.000  0.000
Hf  0.000  0.500  0.000
Hf  0.000  0.000  0.500
Pb  0.500  0.500  0.500
Ba  0.000  0.000  0.000

=====

5.
## BaHf2Pb (PBE-GGA)

Data for a geometry-optimized BaHf2Pb structure.

Values from the calculation:
E above lowest polymorph = 2.43 kJ/mol of atoms
density of states at the Fermi level = 13.41 states/eV/cell
volume = 33.969 Å³ per atom
calculated formation energy = 661 meV per atom
space group = I-42d (122)
VASP energy = -5.7231 eV/atom

a b c (Å): 5.019 5.019 11.356
angles (deg): 77.23 77.23 90.00
Sites, in units of the cell vectors:
Pb  0.000  0.000  0.000
Pb  0.750  0.250  0.500
Hf  0.991  0.625  0.250
Hf  0.375  0.241  0.750
Hf  0.875  0.009  0.750
Hf  0.759  0.125  0.250
Ba  0.500  0.500  0.000
Ba  0.250  0.750  0.500

=====

6.
## Ba2HfPb (PBE-GGA)

Data for a geometry-optimized Ba2HfPb structure.

Values from the calculation:
E above lowest polymorph = 0.00 kJ/mol of atoms
density of states at the Fermi level = 4.07 states/eV/cell
volume = 37.742 Å³ per atom
calculated formation energy = 396 meV per atom
space group = Fm-3m (225)
VASP energy = -3.9811 eV/atom

a b c (Å): 5.977 5.977 5.977
angles (deg): 60.00 60.00 60.00
Each line ends with the local moment (μB).
Sites, in units of the cell vectors:
Pb  0.500  0.500  0.500  -0.07
Hf  0.000  0.000  0.000  1.01
Ba  0.750  0.750  0.750  0.10
Ba  0.250  0.250  0.250  0.10

=====

Please write out number 1 again, unchanged.
## Ba2HfZrP (PBE-GGA)

Data for a geometry-optimized Ba2HfZrP structure.

Values from the calculation:
density of states at the Fermi level = 9.34 states/eV/cell
volume = 37.259 Å³ per atom
calculated formation energy = 412 meV per atom
space group = P4/mmm (123)
VASP energy = -5.1393 eV/atom

a b c (Å): 6.102 5.003 6.102
angles (deg): 90.00 90.00 90.00
Each line ends with the local moment (μB).
Sites, in units of the cell vectors:
Zr  0.000  0.500  0.000  0.29
P  0.000  0.000  0.000  -0.01
Hf  0.500  0.500  0.500  0.77
Ba  0.000  0.000  0.500  0.08
Ba  0.500  0.000  0.000  0.08